# 1
Entry from Alexandria via LeMat-Bulk: YHfSc2C after structural relaxation (PBE).

```
YHfSc2C
1.0
4.748 0.000 0.000
0.000 4.748 0.000
0.000 0.000 4.608
Y Sc C Hf
1 2 1 1
Direct
0.500 0.500 0.500
0.000 0.500 0.000
0.500 0.000 0.000
0.000 0.000 0.000
0.000 0.000 0.500
```

SG = P4/mmm
M_tot = 1.28 μB per formula unit
ΔH_f (0 K) = -0.0919 eV per atom

# 2
Entry from Alexandria via LeMat-Bulk: LiTcB2 after structural relaxation (PBE).

```
LiTcB2
1.0
-3.513 -3.651 2.443
-1.641 -1.810 -5.067
-0.813 -4.410 -1.284
B Tc Li
4 2 2
Direct
0.611 0.125 0.250
0.139 0.625 0.250
0.375 0.389 0.750
0.875 0.861 0.750
0.000 0.000 0.000
0.750 0.250 0.500
0.500 0.500 0.000
0.250 0.750 0.500
```

SG = I-42d
M_tot = 0.00 μB per formula unit
Energy above the most stable polymorph in this dataset = 173 meV/atom
ΔH_f (0 K) = 0.5144 eV per atom

- What is the M_tot in the first record?
  1.28 μB per formula unit